# 1
LiTb2InS5 (PBE-GGA, optimized geometry); E_form (uncorrected) = -1477.9 meV per atom; SG = No. 36
1.0
-0.637 2.703 -2.726
5.354 -5.516 -3.942
-8.876 -5.909 -3.786
S Tb In Li
10 4 2 2
Direct
0.494 0.988 0.283 S
0.638 0.275 0.496 S
0.299 0.599 0.658 S
0.506 0.012 0.783 S
0.701 0.401 0.158 S
0.303 0.606 0.334 S
0.035 0.071 0.085 S
0.362 0.725 0.996 S
0.965 0.929 0.585 S
0.697 0.394 0.834 S
0.125 0.250 0.678 Tb
0.127 0.253 0.302 Tb
0.875 0.750 0.178 Tb
0.873 0.747 0.802 Tb
0.581 0.162 0.974 In
0.419 0.838 0.474 In
0.224 0.449 0.015 Li
0.776 0.551 0.515 Li

# 2
Sm2Al4GaRh3 (PBE-GGA, optimized geometry); energy of formation from the pure elements = -0.770 eV per atom; SG = No. 115
1.0
4.157 0.000 0.000
0.000 4.157 0.000
0.000 0.000 10.787
Rh Ga Sm Al
3 1 2 4
Direct
0.000 0.500 0.130 Rh
0.000 0.000 0.500 Rh
0.500 0.000 0.870 Rh
0.500 0.500 0.500 Ga
0.500 0.000 0.249 Sm
0.000 0.500 0.751 Sm
0.500 0.000 0.637 Al
0.500 0.500 0.000 Al
0.000 0.000 0.000 Al
0.000 0.500 0.363 Al

# 3
K2PSCl5 (PBE-GGA, optimized geometry); E_form (uncorrected) = -998.8 meV per atom; SG = No. 107
1.0
-2.175 -4.137 5.248
-0.563 -1.989 -6.717
6.834 1.089 -1.224
Cl P K S
5 1 2 1
Direct
0.540 0.775 0.775 Cl
0.000 0.212 0.212 Cl
0.000 0.775 0.235 Cl
0.000 0.235 0.775 Cl
0.460 0.235 0.235 Cl
0.000 0.981 0.981 P
0.500 0.753 0.253 K
0.500 0.253 0.753 K
0.000 0.781 0.781 S

# 4
BeSeCl2 (PBE-GGA, optimized geometry); energy above the most stable polymorph in this dataset = 0.1501 eV per atom; E_form (uncorrected) = -446.5 meV per atom; SG = No. 99
1.0
-3.233 -1.319 0.508
0.663 -0.296 3.453
-2.778 7.253 1.154
Cl Se Be
2 1 1
Direct
0.500 0.500 0.338 Cl
0.000 0.000 0.934 Cl
0.000 0.000 0.655 Se
0.500 0.500 0.573 Be

Density of states at the Fermi level readings, ordered: 0.0, 7.3, 2.1, 0.1 states/eV/cell